# 1
Here is a crystal of Ru2PbCl relaxed with PBEsol from Alexandria via LeMat-Bulk. Energies are from SCAN.

Cell: 4.576 4.576 4.576 Å, 60.00 60.00 60.00°
Positions (direct):
Ru 0.000 0.000 0.000
Ru 0.250 0.250 0.250
Pb 0.750 0.750 0.750
Cl 0.500 0.500 0.500

Summary:
Space-group type: No. 216
Crystal system: cubic
Formation energy without anion corrections, eV/atom: 0.9896
DOS(E_F), states/eV/atom: 0.994

# 2
Here is a crystal of ScCrInAu2 relaxed with PBEsol from Alexandria via LeMat-Bulk. Energies are from SCAN.

Cell: 4.824 4.824 4.851 Å, 90.00 90.00 90.00°
Positions (direct):
Sc 0.000 0.000 0.000
Cr 0.500 0.500 0.500
In 0.500 0.500 0.000
Au 0.000 0.500 0.500
Au 0.500 0.000 0.500

Summary:
Space-group type: No. 123
Crystal system: tetragonal
DOS(E_F), states/eV/atom: 0.856
Formation energy from the elements, eV per atom: 0.3185

# 3
Here is a crystal of Fe3Hg2 relaxed with PBEsol from Alexandria via LeMat-Bulk. Energies are from SCAN.

Cell: 5.123 5.123 5.123 Å, 50.34 50.34 50.34°
Positions (direct):
Fe 0.000 0.000 0.000
Fe 0.185 0.185 0.185
Fe 0.815 0.815 0.815
Hg 0.397 0.397 0.397
Hg 0.603 0.603 0.603

Summary:
Space-group type: No. 166
Crystal system: trigonal
DOS(E_F), states/eV/atom: 0.629
Formation energy from the elements, eV per atom: 0.3419

# 4
Here is a crystal of Te2As relaxed with PBEsol from Alexandria via LeMat-Bulk. Energies are from SCAN.

Cell: 8.496 4.005 9.714 Å, 90.00 90.00 90.00°
Positions (direct):
Te 0.063 0.250 0.163
Te 0.131 0.250 0.544
Te 0.369 0.750 0.044
Te 0.437 0.750 0.663
Te 0.563 0.250 0.337
Te 0.631 0.250 0.956
Te 0.869 0.750 0.456
Te 0.937 0.750 0.837
As 0.160 0.250 0.906
As 0.340 0.750 0.406
As 0.660 0.250 0.594
As 0.840 0.750 0.094

Summary:
Space-group type: No. 62
Crystal system: orthorhombic
Formation energy without anion corrections, eV/atom: 0.0861
DOS(E_F), states/eV/atom: 0.241

# 5
Here is a crystal of TaCoAg2 relaxed with PBEsol from Alexandria via LeMat-Bulk. Energies are from SCAN.

Cell: 4.903 4.903 4.903 Å, 139.01 127.08 69.04°
Positions (direct):
Ta 0.000 0.000 0.000
Co 0.794 0.294 0.500
Ag 0.275 0.775 0.500
Ag 0.543 0.543 0.000

Summary:
Space-group type: No. 44
Crystal system: orthorhombic
DOS(E_F), states/eV/atom: 0.469
Formation energy from the elements, eV per atom: 0.4289

# 6
Here is a crystal of CrSbTe2F relaxed with PBEsol from Alexandria via LeMat-Bulk. Energies are from SCAN.

Cell: 5.231 5.231 4.344 Å, 90.00 90.00 90.00°
Positions (direct):
Cr 0.000 0.000 0.000
Sb 0.500 0.500 0.000
Te 0.000 0.500 0.500
Te 0.500 0.000 0.500
F 0.500 0.500 0.500

Summary:
Space-group type: No. 123
Crystal system: tetragonal
Formation energy without anion corrections, eV/atom: 0.0958
DOS(E_F), states/eV/atom: 0.832